This record from the Alexandria database describes a relaxed structure of FeCl3F. The functional is PBE with a Hubbard U.

Cell lengths 5.3474, 6.8819, 8.1548 Å; angles 89.67, 72.81, 88.83 degrees
Space group P1 (No. 1)
Symmetry-distinct sites (fractional):
Fe1 0.0000 0.0000 0.0000 [1 per cell]
Fe2 0.4994 0.0477 0.4998 [1 per cell]
Cl1 0.1201 0.7619 0.1599 [1 per cell]
Cl2 0.1987 0.2961 0.9314 [1 per cell]
Cl3 0.2826 0.8432 0.7475 [1 per cell]
Cl4 0.6053 0.2865 0.6597 [1 per cell]
Cl5 0.7150 0.7518 0.4318 [1 per cell]
Cl6 0.7731 0.2049 0.2474 [1 per cell]
F1 0.1983 0.1004 0.4512 [1 per cell]
F2 0.7018 0.9461 0.9518 [1 per cell]

Total energy   -3.490 eV/atom
Polymorph energy (0 for the lowest one)   0 meV/atom